Here is a geometry-optimized Pa2Cu5Ni5 structure from Alexandria. Energies are from GGA-PBE.

Calculated values
The total energy is -71.19 eV per cell. For the formation enthalpy at 0 K, the calculation gives -0.234 eV per atom.

```
data_Pa2Cu5Ni5
_cell_length_a 4.1300
_cell_length_b 4.8361
_cell_length_c 8.4625
_cell_angle_alpha 90.00
_cell_angle_beta 90.00
_cell_angle_gamma 90.00
_space_group_name_H-M_alt 'P m m m'
_space_group_IT_number 47
_space_group_name_Hall '-P 2 2'
loop_
_atom_site_label
_atom_site_type_symbol
_atom_site_fract_x
_atom_site_fract_y
_atom_site_fract_z
Pa1 Pa 0.0000 0.0000 0.0000
Pa2 Pa 0.0000 0.5000 0.5000
Cu1 Cu 0.5000 0.0000 0.5000
Cu2 Cu 0.5000 0.2505 0.2494
Ni1 Ni 0.0000 0.0000 0.3351
Ni2 Ni 0.0000 0.5000 0.1652
Ni3 Ni 0.5000 0.5000 0.0000
```

---

Here is a geometry-optimized Sr3LiHf structure from Alexandria. Energies are from GGA-PBE.

Calculated values
The total energy is -12.56 eV per cell. For the formation enthalpy at 0 K, the calculation gives 0.870 eV per atom.

```
data_Sr3LiHf
_cell_length_a 6.4291
_cell_length_b 6.4291
_cell_length_c 6.4291
_cell_angle_alpha 90.00
_cell_angle_beta 90.00
_cell_angle_gamma 90.00
_space_group_name_H-M_alt 'P m -3 m'
_space_group_IT_number 221
_space_group_name_Hall '-P 4 2 3'
loop_
_atom_site_label
_atom_site_type_symbol
_atom_site_fract_x
_atom_site_fract_y
_atom_site_fract_z
Sr1 Sr 0.0000 0.0000 0.5000
Li1 Li 0.5000 0.5000 0.5000
Hf1 Hf 0.0000 0.0000 0.0000
```

---

Here is a geometry-optimized CrHgMo2 structure from Alexandria. Energies are from GGA-PBE.

Calculated values
The total energy is -59.47 eV per cell. For the formation enthalpy at 0 K, the calculation gives 0.463 eV per atom.

```
data_CrHgMo2
_cell_length_a 3.2244
_cell_length_b 4.4191
_cell_length_c 8.9047
_cell_angle_alpha 90.00
_cell_angle_beta 90.00
_cell_angle_gamma 90.00
_space_group_name_H-M_alt 'I m m m'
_space_group_IT_number 71
_space_group_name_Hall '-I 2 2'
loop_
_atom_site_label
_atom_site_type_symbol
_atom_site_fract_x
_atom_site_fract_y
_atom_site_fract_z
Cr1 Cr 0.0000 0.0000 0.0000
Hg1 Hg 0.0000 0.0000 0.5000
Mo1 Mo 0.0000 0.5000 0.2742
```

---

Here is a geometry-optimized Pr6ErTl4 structure from Alexandria. Energies are from GGA-PBE.

Calculated values
The total energy is -89.24 eV per cell. For the formation enthalpy at 0 K, the calculation gives -0.174 eV per atom.

```
data_Pr6ErTl4
_cell_length_a 6.6625
_cell_length_b 6.6625
_cell_length_c 16.9866
_cell_angle_alpha 90.00
_cell_angle_beta 90.00
_cell_angle_gamma 90.00
_space_group_name_H-M_alt 'I -4 2 m'
_space_group_IT_number 121
_space_group_name_Hall 'I -4 2'
loop_
_atom_site_label
_atom_site_type_symbol
_atom_site_fract_x
_atom_site_fract_y
_atom_site_fract_z
Pr1 Pr 0.0000 0.5000 0.0000
Pr2 Pr 0.2373 0.2373 0.1781
Er1 Er 0.0000 0.0000 0.5000
Tl1 Tl 0.2413 0.2413 0.3664
```

---

Here is a geometry-optimized La3SnC structure from Alexandria. Energies are from GGA-PBE.

Calculated values
The total energy is -112.27 eV per cell. For the formation enthalpy at 0 K, the calculation gives -0.012 eV per atom.

```
data_La3SnC
_cell_length_a 7.0430
_cell_length_b 12.4993
_cell_length_c 7.3022
_cell_angle_alpha 90.00
_cell_angle_beta 90.00
_cell_angle_gamma 90.00
_space_group_name_H-M_alt 'C m c m'
_space_group_IT_number 63
_space_group_name_Hall '-C 2c 2'
loop_
_atom_site_label
_atom_site_type_symbol
_atom_site_fract_x
_atom_site_fract_y
_atom_site_fract_z
La1 La 0.0000 0.0000 0.0000
La2 La 0.2301 0.2715 0.2500
Sn1 Sn 0.0000 0.4613 0.7500
C1 C 0.0000 0.1337 0.7500
```

---

Here is a geometry-optimized SrHoZn structure from Alexandria. Energies are from GGA-PBE.

Calculated values
The total energy is -15.75 eV per cell. For the formation enthalpy at 0 K, the calculation gives -0.114 eV per atom.

```
data_SrHoZn
_cell_length_a 4.9518
_cell_length_b 4.9518
_cell_length_c 7.8626
_cell_angle_alpha 90.00
_cell_angle_beta 90.00
_cell_angle_gamma 90.00
_space_group_name_H-M_alt 'P 4/n m m'
_space_group_IT_number 129
loop_
_space_group_symop_operation_xyz
'x,y,z'
'-x,-y,-z'
'-y+1/2,x,z'
'y+1/2,-x,-z'
'-x+1/2,-y+1/2,z'
'x+1/2,y+1/2,-z'
'y,-x+1/2,z'
'-y,x+1/2,-z'
'x+1/2,-y,-z'
'-x+1/2,y,z'
'-y,-x,-z'
'y,x,z'
'-x,y+1/2,-z'
'x,-y+1/2,z'
'y+1/2,x+1/2,-z'
'-y+1/2,-x+1/2,z'
loop_
_atom_site_label
_atom_site_type_symbol
_atom_site_fract_x
_atom_site_fract_y
_atom_site_fract_z
Sr1 Sr 0.2500 0.2500 0.1351
Ho1 Ho 0.2500 0.7500 0.5000
Zn1 Zn 0.2500 0.2500 0.7145
```